5
Lattice="5.3310 0.0000 0.0000 0.0000 5.3310 0.0000 0.0000 0.0000 5.3310" Properties=species:S:1:pos:R:3 comment="Ti3PbF PBE optimized geometry" total_magnetization_mub_per_fu=6.89 e_above_lowest_polymorph_mev_per_atom=1489 crystal_system=cubic pbc="T T T"
Ti 0.0000 0.0000 2.6655
Ti 0.0000 2.6655 0.0000
Ti 2.6655 0.0000 0.0000
Pb 0.0000 0.0000 0.0000
F 2.6655 2.6655 2.6655



4
Lattice="1.9158 0.0000 8.9981 -0.9579 1.6591 8.9981 -0.9579 -1.6591 8.9981" Properties=species:S:1:pos:R:3 comment="TiPbF2 PBE optimized geometry" total_magnetization_mub_per_fu=1.93 e_above_lowest_polymorph_mev_per_atom=0 crystal_system=trigonal pbc="T T T"
F 0.0000 0.0000 23.4507
F 0.0000 0.0000 3.5437
Ti 0.0000 0.0000 13.4972
Pb 0.0000 0.0000 0.0000